VASP calculation (GGA+U) on a relaxed structure of VZnI2O.

Output
VASP energy	-3.3124	eV/atom
distance to the lowest polymorph of the same formula	484	meV/atom
crystal system	tetragonal

Lattice parameters (Å, degrees): 5.7584 5.7584 3.6948 90.00 90.00 90.00
Closest atoms and distances in Å follow each position.
Space group P4/mmm (No. 123)
Inequivalent atoms, fractional coordinates:
1 V 0.0000 0.0000 0.0000 [1 per cell]  8 I 3.42, 2 V 3.69
2 Zn 0.5000 0.5000 0.5000 [1 per cell]  2 O 1.85
3 I 0.0000 0.5000 0.5000 [2 per cell]  2 Zn 2.88
4 O 0.5000 0.5000 0.0000 [1 per cell]  2 Zn 1.85